(1)
VASP calculation (GGA-PBE) on a relaxed structure of Hf5Fe2Bi2.

```
data_Hf5Fe2Bi2
_cell_length_a 14.8881
_cell_length_b 7.1742
_cell_length_c 7.2565
_cell_angle_alpha 90.00
_cell_angle_beta 90.00
_cell_angle_gamma 90.00
_symmetry_space_group_name_H-M 'C m c e'
_symmetry_Int_Tables_number 64
_symmetry_space_group_name_Hall '-C 2ac 2'
loop_
_atom_site_label
_atom_site_type_symbol
_atom_site_fract_x
_atom_site_fract_y
_atom_site_fract_z
_atom_site_occupancy
Hf1 Hf 0.0000 0.0000 0.0000 1
Hf2 Hf 0.1054 0.1557 0.3394 1
Fe1 Fe 0.0000 0.1374 0.6329 1
Bi1 Bi 0.2137 0.0000 0.0000 1
```

N(E_F) in states/eV per atom: 1.03
Total energy in eV per atom: -8.49
Total magnetic moment in μB per cell: 0.000

(2)
VASP calculation (GGA-PBE) on a relaxed structure of Hf8FeBi2.

```
data_Hf8FeBi2
_cell_length_a 17.1753
_cell_length_b 3.9342
_cell_length_c 7.3924
_cell_angle_alpha 90.00
_cell_angle_beta 96.11
_cell_angle_gamma 90.00
_symmetry_space_group_name_H-M 'C 1 2/m 1'
_symmetry_Int_Tables_number 12
loop_
_symmetry_equiv_pos_as_xyz
'x,y,z'
'-x,-y,-z'
'-x,y,-z'
'x,-y,z'
'x+1/2,y+1/2,z'
'-x+1/2,-y+1/2,-z'
'-x+1/2,y+1/2,-z'
'x+1/2,-y+1/2,z'
loop_
_atom_site_label
_atom_site_type_symbol
_atom_site_fract_x
_atom_site_fract_y
_atom_site_fract_z
_atom_site_occupancy
Hf1 Hf 0.0151 0.0000 0.2292 1
Hf2 Hf 0.0893 0.5000 0.5163 1
Hf3 Hf 0.1348 0.5000 0.0573 1
Hf4 Hf 0.2005 0.0000 0.3613 1
Fe1 Fe 0.0000 0.5000 0.0000 1
Bi1 Bi 0.1829 0.0000 0.7775 1
```

N(E_F) in states/eV per atom: 0.56
Total energy in eV per atom: -8.76
Total magnetic moment in μB per cell: 0.000

(3)
VASP calculation (GGA-PBE) on a relaxed structure of Hf5FeBi.

```
data_Hf5FeBi
_cell_length_a 11.8999
_cell_length_b 8.6775
_cell_length_c 7.5192
_cell_angle_alpha 90.00
_cell_angle_beta 115.75
_cell_angle_gamma 90.00
_symmetry_space_group_name_H-M 'C 1 2/c 1'
_symmetry_Int_Tables_number 15
loop_
_symmetry_equiv_pos_as_xyz
'x,y,z'
'-x,-y,-z'
'-x,y,-z+1/2'
'x,-y,z+1/2'
'x+1/2,y+1/2,z'
'-x+1/2,-y+1/2,-z'
'-x+1/2,y+1/2,-z+1/2'
'x+1/2,-y+1/2,z+1/2'
loop_
_atom_site_label
_atom_site_type_symbol
_atom_site_fract_x
_atom_site_fract_y
_atom_site_fract_z
_atom_site_occupancy
Hf1 Hf 0.0000 0.1480 0.2500 1
Hf2 Hf 0.1160 0.2232 0.9330 1
Hf3 Hf 0.2340 0.0386 0.7073 1
Fe1 Fe 0.0000 0.0000 0.0000 1
Bi1 Bi 0.0000 0.4764 0.2500 1
```

N(E_F) in states/eV per atom: 0.77
Total energy in eV per atom: -8.55
Total magnetic moment in μB per cell: 0.000

Which value of total energy does entry 1 give?
-8.49 eV per atom

Look up the total energy of the second one.
-8.76 eV per atom